Record 1
Crystalline CaNiSe2 at its relaxed geometry. Source: Alexandria via LeMat-Bulk, functional GGA-PBEsol.

The space group is Fm-3m (No. 225) and the conventional cell measures 6.688, 6.688 and 6.688 Å, with angles of 90.00, 90.00 and 90.00 degrees. The inequivalent atoms are Ca at (0.000, 0.000, 0.000), Ni at (0.000, 0.000, 0.500) and Se at (0.250, 0.250, 0.250).

Its raw formation energy is -2.06 eV/f.u. For the electronic total energy, the calculation gives -72.208 eV per cell. The calculation puts the density at 5.70 g/cm³.



Record 2
Crystalline CaNiSe2 at its relaxed geometry. Source: Alexandria via LeMat-Bulk, functional GGA-PBEsol.

The space group is Cm (No. 8) and the conventional cell measures 11.282, 3.789 and 4.340 Å, with angles of 90.00, 100.39 and 90.00 degrees. The inequivalent atoms are Ca at (0.000, 0.000, 0.000), Ni at (0.213, 0.500, 0.772), Se at (0.020, 0.500, 0.510) and Se at (0.271, 0.000, 0.029).

Its raw formation energy is -3.29 eV/f.u. For the electronic total energy, the calculation gives -38.559 eV per cell. The calculation puts the density at 4.67 g/cm³.